Entry 1:
A plane-wave DFT calculation with PBE was carried out for a geometry-optimized Mn4Co structure.

```
data_Mn4Co
_chemical_formula_sum 'Mn8 Co2'
_symmetry_space_group_name_H-M 'P b a m'
_symmetry_Int_Tables_number 55
_cell_length_a 4.363
_cell_length_b 7.112
_cell_length_c 3.966
_cell_angle_alpha 90.00
_cell_angle_beta 90.00
_cell_angle_gamma 90.00
loop_
_symmetry_equiv_pos_as_xyz
'x,y,z'
'-x,-y,-z'
'-x,-y,z'
'x,y,-z'
'x+1/2,-y+1/2,-z'
'-x+1/2,y+1/2,z'
'-x+1/2,y+1/2,-z'
'x+1/2,-y+1/2,z'
loop_
_atom_site_label
_atom_site_fract_x
_atom_site_fract_y
_atom_site_fract_z
Mn1 0.048 0.162 0.000
Mn2 0.250 0.374 0.500
Co1 0.000 0.500 0.000
```

Summary:
formation energy from the elements = 334 meV/atom

Entry 2:
A plane-wave DFT calculation with PBE was carried out for a geometry-optimized U4GeAs structure.

```
data_U4GeAs
_chemical_formula_sum 'U16 Ge4 As4'
_symmetry_space_group_name_H-M 'C 1 2/c 1'
_symmetry_Int_Tables_number 15
_cell_length_a 8.609
_cell_length_b 5.486
_cell_length_c 10.335
_cell_angle_alpha 90.00
_cell_angle_beta 93.50
_cell_angle_gamma 90.00
loop_
_symmetry_equiv_pos_as_xyz
'x,y,z'
'-x,-y,-z'
'-x,y,-z+1/2'
'x,-y,z+1/2'
'x+1/2,y+1/2,z'
'-x+1/2,-y+1/2,-z'
'-x+1/2,y+1/2,-z+1/2'
'x+1/2,-y+1/2,z+1/2'
loop_
_atom_site_label
_atom_site_fract_x
_atom_site_fract_y
_atom_site_fract_z
U1 0.106 0.246 0.018
U2 0.145 0.471 0.234
Ge1 0.000 0.033 0.750
As1 0.250 0.250 0.500
```

Summary:
formation energy from the elements = -404 meV/atom

Entry 3:
A plane-wave DFT calculation with PBE was carried out for a geometry-optimized AsBrN2 structure.

```
data_AsBrN2
_chemical_formula_sum 'As4 Br4 N8'
_symmetry_space_group_name_H-M 'I -4 2 d'
_symmetry_Int_Tables_number 122
_symmetry_space_group_name_Hall 'I -4 2bw'
_cell_length_a 5.586
_cell_length_b 5.586
_cell_length_c 8.035
_cell_angle_alpha 90.00
_cell_angle_beta 90.00
_cell_angle_gamma 90.00
loop_
_atom_site_label
_atom_site_fract_x
_atom_site_fract_y
_atom_site_fract_z
As1 0.000 0.000 0.000
Br1 0.000 0.000 0.500
N1 0.119 0.250 0.125
```

Summary:
formation energy from raw total energies = 1.249 eV/atom

Entry 4:
A plane-wave DFT calculation with PBE was carried out for a geometry-optimized KPuHfO6 structure.

```
data_KPuHfO6
_chemical_formula_sum 'K2 Pu2 Hf2 O12'
_symmetry_space_group_name_H-M 'P -3 1 c'
_symmetry_Int_Tables_number 163
_symmetry_space_group_name_Hall '-P 3 2c'
_cell_length_a 5.5916
_cell_length_b 5.5916
_cell_length_c 11.6905
_cell_angle_alpha 90.00
_cell_angle_beta 90.00
_cell_angle_gamma 120.00
loop_
_atom_site_label
_atom_site_fract_x
_atom_site_fract_y
_atom_site_fract_z
K1 0.0000 0.0000 0.0000
Pu1 0.3333 0.6667 0.2500
Hf1 0.3333 0.6667 0.7500
O1 0.0100 0.3859 0.1569
```

Summary:
formation energy from raw total energies = -2.627 eV/atom

Entry 5:
A plane-wave DFT calculation with PBE was carried out for a geometry-optimized CdAg2O structure.

```
data_CdAg2O
_chemical_formula_sum 'Cd4 Ag8 O4'
_symmetry_space_group_name_H-M 'F m -3 m'
_symmetry_Int_Tables_number 225
_symmetry_space_group_name_Hall '-F 4 2 3'
_cell_length_a 6.393
_cell_length_b 6.393
_cell_length_c 6.393
_cell_angle_alpha 90.00
_cell_angle_beta 90.00
_cell_angle_gamma 90.00
loop_
_atom_site_label
_atom_site_fract_x
_atom_site_fract_y
_atom_site_fract_z
Cd1 0.000 0.000 0.000
Ag1 0.250 0.250 0.250
O1 0.000 0.000 0.500
```

Summary:
formation energy from raw total energies = 0.137 eV/atom

Entry 6:
A plane-wave DFT calculation with PBE was carried out for a geometry-optimized KZrBH2 structure.

```
data_KZrBH2
_chemical_formula_sum 'K1 Zr1 B1 H2'
_symmetry_space_group_name_H-M 'P 4/m m m'
_symmetry_Int_Tables_number 123
_symmetry_space_group_name_Hall '-P 4 2'
_cell_length_a 3.930
_cell_length_b 3.930
_cell_length_c 6.713
_cell_angle_alpha 90.00
_cell_angle_beta 90.00
_cell_angle_gamma 90.00
loop_
_atom_site_label
_atom_site_fract_x
_atom_site_fract_y
_atom_site_fract_z
K1 0.000 0.000 0.000
Zr1 0.000 0.000 0.500
B1 0.500 0.500 0.000
H1 0.000 0.500 0.500
```

Summary:
total DFT energy (no corrections) = -3.32 eV/atom

Entry 7:
A plane-wave DFT calculation with PBE was carried out for a geometry-optimized Ta2AgN structure.

```
data_Ta2AgN
_chemical_formula_sum 'Ta8 Ag4 N4'
_symmetry_space_group_name_H-M 'I -4 2 d'
_symmetry_Int_Tables_number 122
_symmetry_space_group_name_Hall 'I -4 2bw'
_cell_length_a 5.193
_cell_length_b 5.193
_cell_length_c 11.087
_cell_angle_alpha 90.00
_cell_angle_beta 90.00
_cell_angle_gamma 90.00
loop_
_atom_site_label
_atom_site_fract_x
_atom_site_fract_y
_atom_site_fract_z
Ta1 0.130 0.250 0.125
Ag1 0.000 0.000 0.500
N1 0.000 0.000 0.000
```

Summary:
formation energy from raw total energies = 0.245 eV/atom

Entry 8:
A plane-wave DFT calculation with PBE was carried out for a geometry-optimized LiO2F2 structure.

```
data_LiO2F2
_chemical_formula_sum 'Li1 O2 F2'
_symmetry_space_group_name_H-M 'P 4/m m m'
_symmetry_Int_Tables_number 123
_symmetry_space_group_name_Hall '-P 4 2'
_cell_length_a 3.505
_cell_length_b 3.505
_cell_length_c 5.379
_cell_angle_alpha 90.00
_cell_angle_beta 90.00
_cell_angle_gamma 90.00
loop_
_atom_site_label
_atom_site_fract_x
_atom_site_fract_y
_atom_site_fract_z
Li1 0.000 0.000 0.000
O1 0.000 0.500 0.500
F1 0.500 0.500 0.000
F2 0.500 0.500 0.500
```

Summary:
formation energy from raw total energies = 0.222 eV/atom

Entry 9:
A plane-wave DFT calculation with PBE was carried out for a geometry-optimized PS2IN structure.

```
data_PS2IN
_chemical_formula_sum 'P1 S2 I1 N1'
_symmetry_space_group_name_H-M 'P 4/m m m'
_symmetry_Int_Tables_number 123
_symmetry_space_group_name_Hall '-P 4 2'
_cell_length_a 5.199
_cell_length_b 5.199
_cell_length_c 3.869
_cell_angle_alpha 90.00
_cell_angle_beta 90.00
_cell_angle_gamma 90.00
loop_
_atom_site_label
_atom_site_fract_x
_atom_site_fract_y
_atom_site_fract_z
P1 0.000 0.000 0.000
S1 0.000 0.500 0.500
I1 0.500 0.500 0.500
N1 0.500 0.500 0.000
```

Summary:
formation energy from raw total energies = 1.757 eV/atom

Entry 10:
A plane-wave DFT calculation with PBE was carried out for a geometry-optimized Ho3OsO6 structure.

```
data_Ho3OsO6
_chemical_formula_sum 'Ho12 Os4 O24'
_symmetry_space_group_name_H-M 'C m c 21'
_symmetry_Int_Tables_number 36
_cell_length_a 8.810
_cell_length_b 11.118
_cell_length_c 5.601
_cell_angle_alpha 90.00
_cell_angle_beta 90.00
_cell_angle_gamma 90.00
loop_
_symmetry_equiv_pos_as_xyz
'x,y,z'
'-x,-y,z+1/2'
'-x,y,z'
'x,-y,z+1/2'
'x+1/2,y+1/2,z'
'-x+1/2,-y+1/2,z+1/2'
'-x+1/2,y+1/2,z'
'x+1/2,-y+1/2,z+1/2'
loop_
_atom_site_label
_atom_site_fract_x
_atom_site_fract_y
_atom_site_fract_z
Ho1 0.000 0.098 0.000
Ho2 0.198 0.398 0.052
Os1 0.000 0.291 0.570
O1 0.000 0.284 0.242
O2 0.000 0.444 0.799
O3 0.159 0.018 0.279
O4 0.162 0.238 0.804
```

Summary:
formation energy from raw total energies = -2.637 eV/atom

Entry 11:
A plane-wave DFT calculation with PBE was carried out for a geometry-optimized TiFeTe3 structure.

```
data_TiFeTe3
_chemical_formula_sum 'Ti1 Fe1 Te3'
_symmetry_space_group_name_H-M 'P m -3 m'
_symmetry_Int_Tables_number 221
_symmetry_space_group_name_Hall '-P 4 2 3'
_cell_length_a 4.977
_cell_length_b 4.977
_cell_length_c 4.977
_cell_angle_alpha 90.00
_cell_angle_beta 90.00
_cell_angle_gamma 90.00
loop_
_atom_site_label
_atom_site_fract_x
_atom_site_fract_y
_atom_site_fract_z
Ti1 0.000 0.000 0.000
Fe1 0.500 0.500 0.500
Te1 0.000 0.500 0.500
```

Summary:
formation energy from raw total energies = 0.590 eV/atom